No. 1
# CaPtO2F | Alexandria via LeMat-Bulk | PBE-GGA | optimized geometry
data_CaPtO2F
_chemical_formula_sum 'Ca1 Pt1 O2 F1'
_space_group_name_H-M_alt 'P 1'
_space_group_IT_number 1
_cell_length_a 4.039
_cell_length_b 4.039
_cell_length_c 4.322
_cell_angle_alpha 90.00
_cell_angle_beta 90.00
_cell_angle_gamma 90.00
loop_
_space_group_symop_operation_xyz
'x,y,z'
loop_
_atom_site_label
_atom_site_type_symbol
_atom_site_fract_x
_atom_site_fract_y
_atom_site_fract_z
Ca1 Ca 0.500 0.500 0.500
O1 O 0.000 0.500 0.000
O2 O 0.500 0.000 0.000
Pt1 Pt 0.000 0.000 0.000
F1 F 0.000 0.000 0.500
# volume	14.106	A^3/atom
# spin magnetization	0.0	μB per cell
# formation energy from raw total energies	-1.3488	eV per atom
# SG	P4/mmm

No. 2
# CaPtOF2 | Alexandria via LeMat-Bulk | PBE-GGA | optimized geometry
data_CaPtOF2
_chemical_formula_sum 'Ca1 Pt1 O1 F2'
_space_group_name_H-M_alt 'P 1'
_space_group_IT_number 1
_cell_length_a 4.207
_cell_length_b 4.207
_cell_length_c 4.709
_cell_angle_alpha 90.00
_cell_angle_beta 90.00
_cell_angle_gamma 90.00
loop_
_space_group_symop_operation_xyz
'x,y,z'
loop_
_atom_site_label
_atom_site_type_symbol
_atom_site_fract_x
_atom_site_fract_y
_atom_site_fract_z
Ca1 Ca 0.000 0.000 0.000
O1 O 0.000 0.000 0.500
Pt1 Pt 0.500 0.500 0.500
F1 F 0.000 0.500 0.000
F2 F 0.500 0.000 0.000
# energy relative to the lowest polymorph listed for this composition	0.304	eV/atom
# volume	16.671	A^3/atom
# spin magnetization	2.0	μB per cell
# formation energy from raw total energies	-1.1485	eV per atom
# SG	P4/mmm

No. 3
# CaPtOF2 | Alexandria via LeMat-Bulk | PBE-GGA | optimized geometry
data_CaPtOF2
_chemical_formula_sum 'Ca1 Pt1 O1 F2'
_space_group_name_H-M_alt 'P 1'
_space_group_IT_number 1
_cell_length_a 4.368
_cell_length_b 4.368
_cell_length_c 4.087
_cell_angle_alpha 90.00
_cell_angle_beta 90.00
_cell_angle_gamma 90.00
loop_
_space_group_symop_operation_xyz
'x,y,z'
loop_
_atom_site_label
_atom_site_type_symbol
_atom_site_fract_x
_atom_site_fract_y
_atom_site_fract_z
Ca1 Ca 0.500 0.500 0.500
O1 O 0.000 0.000 0.500
Pt1 Pt 0.000 0.000 0.000
F1 F 0.000 0.500 0.000
F2 F 0.500 0.000 0.000
# energy relative to the lowest polymorph listed for this composition	0.000	eV/atom
# volume	15.591	A^3/atom
# spin magnetization	0.0	μB per cell
# formation energy from raw total energies	-1.4523	eV per atom
# SG	P4/mmm

No. 4
# Ca3PuO6F2 | Alexandria via LeMat-Bulk | PBE-GGA | optimized geometry
data_Ca3PuO6F2
_chemical_formula_sum 'Ca3 Pu1 O6 F2'
_space_group_name_H-M_alt 'P 1'
_space_group_IT_number 1
_cell_length_a 4.754
_cell_length_b 6.680
_cell_length_c 6.827
_cell_angle_alpha 119.29
_cell_angle_beta 91.06
_cell_angle_gamma 90.00
loop_
_space_group_symop_operation_xyz
'x,y,z'
loop_
_atom_site_label
_atom_site_type_symbol
_atom_site_fract_x
_atom_site_fract_y
_atom_site_fract_z
Ca1 Ca 0.000 0.500 0.000
Ca2 Ca 0.500 0.500 0.500
Ca3 Ca 0.500 0.000 0.500
Pu1 Pu 0.500 0.000 0.000
O1 O 0.720 0.292 0.145
O2 O 0.280 0.708 0.855
O3 O 0.704 0.856 0.713
O4 O 0.296 0.144 0.287
O5 O 0.280 0.147 0.855
O6 O 0.720 0.853 0.145
F1 F 0.249 0.666 0.332
F2 F 0.751 0.334 0.668
# volume	15.754	A^3/atom
# spin magnetization	0.0	μB per cell
# formation energy from raw total energies	-2.8149	eV per atom
# SG	C2/m

No. 5
# RbCaOF2 | Alexandria via LeMat-Bulk | PBE-GGA | optimized geometry
data_RbCaOF2
_chemical_formula_sum 'Rb1 Ca1 O1 F2'
_space_group_name_H-M_alt 'P 1'
_space_group_IT_number 1
_cell_length_a 4.508
_cell_length_b 4.508
_cell_length_c 4.703
_cell_angle_alpha 90.00
_cell_angle_beta 90.00
_cell_angle_gamma 90.00
loop_
_space_group_symop_operation_xyz
'x,y,z'
loop_
_atom_site_label
_atom_site_type_symbol
_atom_site_fract_x
_atom_site_fract_y
_atom_site_fract_z
Ca1 Ca 0.000 0.000 0.000
O1 O 0.000 0.000 0.500
Rb1 Rb 0.500 0.500 0.500
F1 F 0.000 0.500 0.000
F2 F 0.500 0.000 0.000
# energy relative to the lowest polymorph listed for this composition	0.000	eV/atom
# volume	19.120	A^3/atom
# spin magnetization	1.0	μB per cell
# formation energy from raw total energies	-2.6044	eV per atom
# SG	P4/mmm

No. 6
# RbCaOF2 | Alexandria via LeMat-Bulk | PBE-GGA | optimized geometry
data_RbCaOF2
_chemical_formula_sum 'Rb1 Ca1 O1 F2'
_space_group_name_H-M_alt 'P 1'
_space_group_IT_number 1
_cell_length_a 4.828
_cell_length_b 4.828
_cell_length_c 4.430
_cell_angle_alpha 90.00
_cell_angle_beta 90.00
_cell_angle_gamma 90.00
loop_
_space_group_symop_operation_xyz
'x,y,z'
loop_
_atom_site_label
_atom_site_type_symbol
_atom_site_fract_x
_atom_site_fract_y
_atom_site_fract_z
Ca1 Ca 0.500 0.500 0.500
O1 O 0.000 0.000 0.500
Rb1 Rb 0.000 0.000 0.000
F1 F 0.000 0.500 0.000
F2 F 0.500 0.000 0.000
# energy relative to the lowest polymorph listed for this composition	1.042	eV/atom
# volume	20.652	A^3/atom
# spin magnetization	0.0	μB per cell
# formation energy from raw total energies	-1.5625	eV per atom
# SG	P4/mmm